(1)
# GGA-PBE Hf2InSn, relaxed
# energy relative to the elements: -0.13 eV/atom
# VASP energy: -6.80 eV/atom
# M_tot: 0.000 μB per formula unit
data_Hf2InSn
_space_group_name_H-M_alt 'P 1'
_space_group_IT_number 1
_space_group_name_Hall 'P 1'
_cell_length_a 3.2043
_cell_length_b 3.2043
_cell_length_c 30.3725
_cell_angle_alpha 90.00
_cell_angle_beta 90.00
_cell_angle_gamma 120.00
loop_
_atom_site_label
_atom_site_fract_x
_atom_site_fract_y
_atom_site_fract_z
_atom_site_occupancy
Hf1 0.0000 0.0000 0.0000 1
Hf2 0.0000 0.0000 0.1676 1
Hf3 0.3333 0.6667 0.6667 1
Hf4 0.3333 0.6667 0.8343 1
Hf5 0.6667 0.3333 0.3333 1
Hf6 0.6667 0.3333 0.5010 1
In1 0.0000 0.0000 0.4170 1
In2 0.3333 0.6667 0.0837 1
In3 0.6667 0.3333 0.7503 1
Sn1 0.0000 0.0000 0.5838 1
Sn2 0.3333 0.6667 0.2505 1
Sn3 0.6667 0.3333 0.9171 1

(2)
# GGA-PBE KRb2BaF6, relaxed
# formation energy without anion corrections: -27.4 eV per formula unit
# VASP energy: -4.36 eV/atom
# M_tot: 1.114 μB per formula unit
data_KRb2BaF6
_space_group_name_H-M_alt 'P 1'
_space_group_IT_number 1
_space_group_name_Hall 'P 1'
_cell_length_a 6.8730
_cell_length_b 7.0774
_cell_length_c 11.6564
_cell_angle_alpha 90.00
_cell_angle_beta 123.77
_cell_angle_gamma 90.00
loop_
_atom_site_label
_atom_site_fract_x
_atom_site_fract_y
_atom_site_fract_z
_atom_site_occupancy
K1 0.0000 0.0000 0.0000 1
K2 0.0000 0.5000 0.5000 1
Rb1 0.2194 0.0528 0.7422 1
Rb2 0.2194 0.4472 0.2422 1
Rb3 0.7806 0.5528 0.7578 1
Rb4 0.7806 0.9472 0.2578 1
Ba1 0.5000 0.0000 0.5000 1
Ba2 0.5000 0.5000 0.0000 1
F1 0.1487 0.1979 0.4411 1
F2 0.1487 0.3021 0.9411 1
F3 0.2237 0.7195 0.4219 1
F4 0.2237 0.7805 0.9219 1
F5 0.3858 0.0705 0.2561 1
F6 0.3858 0.4295 0.7561 1
F7 0.6142 0.5705 0.2439 1
F8 0.6142 0.9295 0.7439 1
F9 0.7763 0.2195 0.0781 1
F10 0.7763 0.2805 0.5781 1
F11 0.8513 0.6979 0.0589 1
F12 0.8513 0.8021 0.5589 1

(3)
# GGA-PBE ZnSnAs2, relaxed
# energy relative to the elements: 0.26 eV/atom
# VASP energy: -3.39 eV/atom
# M_tot: 0.000 μB per formula unit
data_ZnSnAs2
_space_group_name_H-M_alt 'P 1'
_space_group_IT_number 1
_space_group_name_Hall 'P 1'
_cell_length_a 6.9293
_cell_length_b 6.9293
_cell_length_c 6.9293
_cell_angle_alpha 90.00
_cell_angle_beta 90.00
_cell_angle_gamma 90.00
loop_
_atom_site_label
_atom_site_fract_x
_atom_site_fract_y
_atom_site_fract_z
_atom_site_occupancy
Zn1 0.0000 0.0000 0.0000 1
Zn2 0.0000 0.5000 0.5000 1
Zn3 0.5000 0.0000 0.5000 1
Zn4 0.5000 0.5000 0.0000 1
Sn1 0.0000 0.0000 0.5000 1
Sn2 0.0000 0.5000 0.0000 1
Sn3 0.5000 0.0000 0.0000 1
Sn4 0.5000 0.5000 0.5000 1
As1 0.2500 0.2500 0.2500 1
As2 0.2500 0.2500 0.7500 1
As3 0.2500 0.7500 0.2500 1
As4 0.2500 0.7500 0.7500 1
As5 0.7500 0.2500 0.2500 1
As6 0.7500 0.2500 0.7500 1
As7 0.7500 0.7500 0.2500 1
As8 0.7500 0.7500 0.7500 1